HgPd3Br | GGA-PBEsol | optimized geometry

Computed properties:
total magnetization = 0.00 μB per cell
space-group type = No. 221
theoretical density = 8.05 g/cm3
formation energy from raw total energies = 95.8 kJ per mole of atoms

Cell and atoms, written as CIF:
```
data_HgPd3Br
_cell_length_a 4.9819
_cell_length_b 4.9819
_cell_length_c 4.9819
_cell_angle_alpha 90.00
_cell_angle_beta 90.00
_cell_angle_gamma 90.00
_space_group_name_H-M_alt 'P 1'
_space_group_IT_number 1
loop_
_space_group_symop_operation_xyz
'x,y,z'
loop_
_atom_site_label
_atom_site_type_symbol
_atom_site_fract_x
_atom_site_fract_y
_atom_site_fract_z
Hg1 Hg 0.0000 0.0000 0.0000
Pd1 Pd 0.0000 0.0000 0.5000
Pd2 Pd 0.0000 0.5000 0.0000
Pd3 Pd 0.5000 0.0000 0.0000
Br1 Br 0.5000 0.5000 0.5000
```

***

Bi2PPtSe | GGA-PBEsol | optimized geometry

Computed properties:
total magnetization = 0.00 μB per cell
space-group type = No. 123
theoretical density = 8.72 g/cm3
formation energy from raw total energies = 79.7 kJ per mole of atoms

Cell and atoms, written as CIF:
```
data_Bi2PPtSe
_cell_length_a 5.5259
_cell_length_b 5.5259
_cell_length_c 4.5063
_cell_angle_alpha 90.00
_cell_angle_beta 90.00
_cell_angle_gamma 90.00
_space_group_name_H-M_alt 'P 1'
_space_group_IT_number 1
loop_
_space_group_symop_operation_xyz
'x,y,z'
loop_
_atom_site_label
_atom_site_type_symbol
_atom_site_fract_x
_atom_site_fract_y
_atom_site_fract_z
Bi1 Bi 0.0000 0.5000 0.0000
Bi2 Bi 0.5000 0.0000 0.0000
P1 P 0.0000 0.0000 0.5000
Pt1 Pt 0.5000 0.5000 0.5000
Se1 Se 0.5000 0.5000 0.0000
```

***

Nd5Sn15Rh8 | GGA-PBEsol | optimized geometry

Computed properties:
total magnetization = 0.00 μB per cell
space-group type = No. 6
theoretical density = 9.36 g/cm3
formation enthalpy at 0 K = -0.723 eV per atom

Cell and atoms, written as CIF:
```
data_Nd5Sn15Rh8
_cell_length_a 7.1807
_cell_length_b 4.4492
_cell_length_c 18.4569
_cell_angle_alpha 90.00
_cell_angle_beta 90.07
_cell_angle_gamma 90.00
_space_group_name_H-M_alt 'P 1'
_space_group_IT_number 1
loop_
_space_group_symop_operation_xyz
'x,y,z'
loop_
_atom_site_label
_atom_site_type_symbol
_atom_site_fract_x
_atom_site_fract_y
_atom_site_fract_z
Nd1 Nd 0.0000 0.0000 0.0000
Nd2 Nd 0.0010 0.5000 0.7173
Nd3 Nd 0.0051 0.5000 0.2902
Nd4 Nd 0.4964 0.5000 0.2165
Nd5 Nd 0.5027 0.0000 0.5027
Sn1 Sn 0.1327 0.5000 0.8908
Sn2 Sn 0.1972 0.0000 0.1781
Sn3 Sn 0.2230 0.5000 0.5535
Sn4 Sn 0.2816 0.5000 0.0524
Sn5 Sn 0.2984 0.0000 0.6775
Sn6 Sn 0.3659 0.5000 0.3918
Sn7 Sn 0.4785 0.5000 0.7924
Sn8 Sn 0.5195 0.0000 0.9277
Sn9 Sn 0.6470 0.0000 0.3290
Sn10 Sn 0.6964 0.5000 0.0384
Sn11 Sn 0.7193 0.0000 0.6659
Sn12 Sn 0.7809 0.0000 0.1661
Sn13 Sn 0.8004 0.5000 0.5459
Sn14 Sn 0.8669 0.0000 0.8267
Sn15 Sn 0.9875 0.0000 0.4275
Rh1 Rh 0.0146 0.0000 0.5743
Rh2 Rh 0.2516 0.0000 0.8246
Rh3 Rh 0.2702 0.0000 0.3248
Rh4 Rh 0.4841 0.0000 0.0747
Rh5 Rh 0.5113 0.5000 0.6487
Rh6 Rh 0.7367 0.5000 0.4051
Rh7 Rh 0.7479 0.5000 0.8925
Rh8 Rh 0.9805 0.5000 0.1336
```

***

KScTa2 | GGA-PBEsol | optimized geometry

Computed properties:
total magnetization = 0.00 μB per cell
space-group type = No. 47
theoretical density = 8.80 g/cm3
formation enthalpy at 0 K = 1.164 eV per atom

Cell and atoms, written as CIF:
```
data_KScTa2
_cell_length_a 3.2116
_cell_length_b 4.7061
_cell_length_c 5.5704
_cell_angle_alpha 90.00
_cell_angle_beta 90.00
_cell_angle_gamma 90.00
_space_group_name_H-M_alt 'P 1'
_space_group_IT_number 1
loop_
_space_group_symop_operation_xyz
'x,y,z'
loop_
_atom_site_label
_atom_site_type_symbol
_atom_site_fract_x
_atom_site_fract_y
_atom_site_fract_z
K1 K 0.0000 0.0000 0.0000
Sc1 Sc 0.5000 0.5000 0.0000
Ta1 Ta 0.0000 0.5000 0.5000
Ta2 Ta 0.5000 0.0000 0.5000
```

***

AlAsW3 | GGA-PBEsol | optimized geometry

Computed properties:
total magnetization = 0.00 μB per cell
space-group type = No. 221
theoretical density = 11.53 g/cm3
formation enthalpy at 0 K = 1.530 eV per atom

Cell and atoms, written as CIF:
```
data_AlAsW3
_cell_length_a 4.5483
_cell_length_b 4.5483
_cell_length_c 4.5483
_cell_angle_alpha 90.00
_cell_angle_beta 90.00
_cell_angle_gamma 90.00
_space_group_name_H-M_alt 'P 1'
_space_group_IT_number 1
loop_
_space_group_symop_operation_xyz
'x,y,z'
loop_
_atom_site_label
_atom_site_type_symbol
_atom_site_fract_x
_atom_site_fract_y
_atom_site_fract_z
Al1 Al 0.0000 0.0000 0.0000
As1 As 0.5000 0.5000 0.5000
W1 W 0.0000 0.5000 0.5000
W2 W 0.5000 0.0000 0.5000
W3 W 0.5000 0.5000 0.0000
```

***

Ta2AsBr | GGA-PBEsol | optimized geometry

Computed properties:
total magnetization = 0.00 μB per cell
space-group type = No. 225
theoretical density = 13.03 g/cm3
formation energy from raw total energies = 18.4 kJ per mole of atoms

Cell and atoms, written as CIF:
```
data_Ta2AsBr
_cell_length_a 4.5328
_cell_length_b 4.5328
_cell_length_c 4.5328
_cell_angle_alpha 60.00
_cell_angle_beta 60.00
_cell_angle_gamma 60.00
_space_group_name_H-M_alt 'P 1'
_space_group_IT_number 1
loop_
_space_group_symop_operation_xyz
'x,y,z'
loop_
_atom_site_label
_atom_site_type_symbol
_atom_site_fract_x
_atom_site_fract_y
_atom_site_fract_z
Ta1 Ta 0.2500 0.2500 0.2500
Ta2 Ta 0.7500 0.7500 0.7500
As1 As 0.0000 0.0000 0.0000
Br1 Br 0.5000 0.5000 0.5000
```

***

Li5Ni9P7 | GGA-PBEsol | optimized geometry

Computed properties:
total magnetization = 0.00 μB per cell
space-group type = No. 174
theoretical density = 5.24 g/cm3
formation enthalpy at 0 K = -0.685 eV per atom

Cell and atoms, written as CIF:
```
data_Li5Ni9P7
_cell_length_a 8.9127
_cell_length_b 8.9127
_cell_length_c 3.5906
_cell_angle_alpha 90.00
_cell_angle_beta 90.00
_cell_angle_gamma 120.00
_space_group_name_H-M_alt 'P 1'
_space_group_IT_number 1
loop_
_space_group_symop_operation_xyz
'x,y,z'
loop_
_atom_site_label
_atom_site_type_symbol
_atom_site_fract_x
_atom_site_fract_y
_atom_site_fract_z
Li1 Li 0.0000 0.0000 0.0000
Li2 Li 0.2192 0.7686 0.0000
Li3 Li 0.2314 0.4506 0.0000
Li4 Li 0.5494 0.7808 0.0000
Li5 Li 0.6667 0.3333 0.5000
Ni1 Ni 0.0451 0.4979 0.5000
Ni2 Ni 0.2786 0.2381 0.5000
Ni3 Ni 0.3787 0.1038 0.0000
Ni4 Ni 0.4527 0.9549 0.5000
Ni5 Ni 0.5021 0.5473 0.5000
Ni6 Ni 0.7251 0.6213 0.0000
Ni7 Ni 0.7619 0.0405 0.5000
Ni8 Ni 0.8962 0.2749 0.0000
Ni9 Ni 0.9595 0.7214 0.5000
P1 P 0.0334 0.2434 0.5000
P2 P 0.2100 0.9666 0.5000
P3 P 0.3333 0.6667 0.5000
P4 P 0.4610 0.3798 0.0000
P5 P 0.6202 0.0812 0.0000
P6 P 0.7566 0.7900 0.5000
P7 P 0.9188 0.5390 0.0000
```

***

Te3Pb | GGA-PBEsol | optimized geometry

Computed properties:
total magnetization = 0.00 μB per cell
space-group type = No. 166
theoretical density = 7.82 g/cm3
formation energy from raw total energies = -3.4 kJ per mole of atoms

Cell and atoms, written as CIF:
```
data_Te3Pb
_cell_length_a 7.0528
_cell_length_b 7.0528
_cell_length_c 7.0528
_cell_angle_alpha 39.05
_cell_angle_beta 39.05
_cell_angle_gamma 39.05
_space_group_name_H-M_alt 'P 1'
_space_group_IT_number 1
loop_
_space_group_symop_operation_xyz
'x,y,z'
loop_
_atom_site_label
_atom_site_type_symbol
_atom_site_fract_x
_atom_site_fract_y
_atom_site_fract_z
Te1 Te 0.0000 0.0000 0.0000
Te2 Te 0.2513 0.2513 0.2513
Te3 Te 0.7487 0.7487 0.7487
Pb1 Pb 0.5000 0.5000 0.5000
```